# AlSb2As (PBE-GGA, optimized geometry)
data_AlSb2As
_cell_length_a 6.098
_cell_length_b 5.924
_cell_length_c 3.079
_cell_angle_alpha 79.07
_cell_angle_beta 82.16
_cell_angle_gamma 118.64
_space_group_name_H-M_alt 'P 1'
_space_group_IT_number 1
loop_
_space_group_symop_operation_xyz
'x,y,z'
loop_
_atom_site_label
_atom_site_type_symbol
_atom_site_fract_x
_atom_site_fract_y
_atom_site_fract_z
_atom_site_occupancy
Al1 Al 0.000 0.500 0.500 1
As1 As 0.500 0.500 0.000 1
Sb1 Sb 0.500 0.000 0.500 1
Sb2 Sb 0.000 0.000 0.000 1
# spin magnetization: 0.00 μB/cell
# DOS at the Fermi energy: 2.051 states/eV per cell
# uncorrected formation energy: 0.281 eV/atom
# energy above the most stable polymorph in this dataset: 271 meV/atom
# electronic total energy: -15.5 eV per formula unit